Record 1
A plane-wave DFT calculation with GGA-PBE was carried out for a relaxed structure of KPdOF2.

Calculated values
Formation energy from raw total energies, eV per atom: -0.079
DOS at the Fermi energy, states/eV/f.u.: 10.64
Offset from the most stable computed form, eV/atom: 1.3812
E, hartree per atom: -0.11309

CIF file:
```
data_KPdOF2
_chemical_formula_sum 'K1 Pd1 O1 F2'
_cell_length_a 4.683
_cell_length_b 4.683
_cell_length_c 4.861
_cell_angle_alpha 90.00
_cell_angle_beta 90.00
_cell_angle_gamma 90.00
_symmetry_space_group_name_H-M 'P 1'
_symmetry_Int_Tables_number 1
loop_
_symmetry_equiv_pos_as_xyz
'x,y,z'
loop_
_atom_site_label
_atom_site_fract_x
_atom_site_fract_y
_atom_site_fract_z
_atom_site_occupancy
K1 0.000 0.000 0.000 1
O1 0.000 0.000 0.500 1
Pd1 0.500 0.500 0.500 1
F1 0.000 0.500 0.000 1
F2 0.500 0.000 0.000 1
```

---

Record 2
A plane-wave DFT calculation with GGA-PBE was carried out for a relaxed structure of Ba3ZnAu2O6.

Calculated values
Formation energy from raw total energies, eV per atom: -1.260
DOS at the Fermi energy, states/eV/f.u.: 6.57
E, hartree per atom: -0.17903

CIF file:
```
data_Ba3ZnAu2O6
_chemical_formula_sum 'Ba3 Zn1 Au2 O6'
_cell_length_a 6.008
_cell_length_b 6.008
_cell_length_c 6.826
_cell_angle_alpha 90.00
_cell_angle_beta 90.00
_cell_angle_gamma 120.00
_symmetry_space_group_name_H-M 'P 1'
_symmetry_Int_Tables_number 1
loop_
_symmetry_equiv_pos_as_xyz
'x,y,z'
loop_
_atom_site_label
_atom_site_fract_x
_atom_site_fract_y
_atom_site_fract_z
_atom_site_occupancy
Ba1 0.333 0.667 0.634 1
Ba2 0.667 0.333 0.366 1
Ba3 0.000 0.000 0.000 1
Zn1 0.000 0.000 0.500 1
Au1 0.667 0.333 0.858 1
Au2 0.333 0.667 0.142 1
O1 0.678 0.839 0.319 1
O2 0.161 0.322 0.319 1
O3 0.161 0.839 0.319 1
O4 0.839 0.678 0.681 1
O5 0.322 0.161 0.681 1
O6 0.839 0.161 0.681 1
```

---

Record 3
A plane-wave DFT calculation with GGA-PBE was carried out for a relaxed structure of LaTl2CdH.

Calculated values
DOS at the Fermi energy, states/eV/f.u.: 3.22
Offset from the most stable computed form, eV/atom: 0.1581
E, hartree per atom: -0.10367

CIF file:
```
data_LaTl2CdH
_chemical_formula_sum 'La1 Tl2 Cd1 H1'
_cell_length_a 5.363
_cell_length_b 4.183
_cell_length_c 5.363
_cell_angle_alpha 90.00
_cell_angle_beta 90.00
_cell_angle_gamma 90.00
_symmetry_space_group_name_H-M 'P 1'
_symmetry_Int_Tables_number 1
loop_
_symmetry_equiv_pos_as_xyz
'x,y,z'
loop_
_atom_site_label
_atom_site_fract_x
_atom_site_fract_y
_atom_site_fract_z
_atom_site_occupancy
H1 0.000 0.000 0.000 1
Tl1 0.000 0.000 0.500 1
Tl2 0.500 0.000 0.000 1
Cd1 0.000 0.500 0.000 1
La1 0.500 0.500 0.500 1
```

---

Record 4
A plane-wave DFT calculation with GGA-PBE was carried out for a relaxed structure of Ca2NdCd3.

Calculated values
Formation energy, meV per atom: -344
DOS at the Fermi energy, states/eV/f.u.: 6.84
Offset from the most stable computed form, eV/atom: 0.0198
E, hartree per atom: -0.08317

CIF file:
```
data_Ca2NdCd3
_chemical_formula_sum 'Ca2 Nd1 Cd3'
_cell_length_a 3.802
_cell_length_b 3.802
_cell_length_c 11.795
_cell_angle_alpha 90.00
_cell_angle_beta 90.00
_cell_angle_gamma 90.00
_symmetry_space_group_name_H-M 'P 1'
_symmetry_Int_Tables_number 1
loop_
_symmetry_equiv_pos_as_xyz
'x,y,z'
loop_
_atom_site_label
_atom_site_fract_x
_atom_site_fract_y
_atom_site_fract_z
_atom_site_occupancy
Ca1 0.500 0.500 0.836 1
Ca2 0.500 0.500 0.164 1
Nd1 0.500 0.500 0.500 1
Cd1 0.000 0.000 0.000 1
Cd2 0.000 0.000 0.668 1
Cd3 0.000 0.000 0.332 1
```

---

Record 5
A plane-wave DFT calculation with GGA-PBE was carried out for a relaxed structure of VZnBr3.

Calculated values
Formation energy from raw total energies, eV per atom: -0.318
DOS at the Fermi energy, states/eV/f.u.: 4.52
Offset from the most stable computed form, eV/atom: 0.0000
E, hartree per atom: -0.12497

CIF file:
```
data_VZnBr3
_chemical_formula_sum 'V1 Zn1 Br3'
_cell_length_a 5.149
_cell_length_b 5.149
_cell_length_c 5.149
_cell_angle_alpha 90.00
_cell_angle_beta 90.00
_cell_angle_gamma 90.00
_symmetry_space_group_name_H-M 'P 1'
_symmetry_Int_Tables_number 1
loop_
_symmetry_equiv_pos_as_xyz
'x,y,z'
loop_
_atom_site_label
_atom_site_fract_x
_atom_site_fract_y
_atom_site_fract_z
_atom_site_occupancy
Zn1 0.500 0.500 0.500 1
Br1 0.000 0.500 0.000 1
Br2 0.000 0.000 0.500 1
Br3 0.500 0.000 0.000 1
V1 0.000 0.000 0.000 1
```

---

Record 6
A plane-wave DFT calculation with GGA-PBE was carried out for a relaxed structure of La2Sc.

Calculated values
Formation energy, meV per atom: 110
DOS at the Fermi energy, states/eV/f.u.: 6.11
Offset from the most stable computed form, eV/atom: 0.0581
E, hartree per atom: -0.19424

CIF file:
```
data_La2Sc
_chemical_formula_sum 'La4 Sc2'
_cell_length_a 5.659
_cell_length_b 5.659
_cell_length_c 7.170
_cell_angle_alpha 90.00
_cell_angle_beta 90.00
_cell_angle_gamma 120.00
_symmetry_space_group_name_H-M 'P 1'
_symmetry_Int_Tables_number 1
loop_
_symmetry_equiv_pos_as_xyz
'x,y,z'
loop_
_atom_site_label
_atom_site_fract_x
_atom_site_fract_y
_atom_site_fract_z
_atom_site_occupancy
La1 0.000 0.000 0.000 1
La2 0.000 0.000 0.500 1
La3 0.333 0.667 0.250 1
La4 0.667 0.333 0.750 1
Sc1 0.333 0.667 0.750 1
Sc2 0.667 0.333 0.250 1
```

---

Record 7
A plane-wave DFT calculation with GGA-PBE was carried out for a relaxed structure of Mg2MoPb.

Calculated values
Formation energy, meV per atom: 373
DOS at the Fermi energy, states/eV/f.u.: 1.93
E, hartree per atom: -0.14916

CIF file:
```
data_Mg2MoPb
_chemical_formula_sum 'Mg2 Mo1 Pb1'
_cell_length_a 5.309
_cell_length_b 5.309
_cell_length_c 5.482
_cell_angle_alpha 84.76
_cell_angle_beta 84.76
_cell_angle_gamma 32.26
_symmetry_space_group_name_H-M 'P 1'
_symmetry_Int_Tables_number 1
loop_
_symmetry_equiv_pos_as_xyz
'x,y,z'
loop_
_atom_site_label
_atom_site_fract_x
_atom_site_fract_y
_atom_site_fract_z
_atom_site_occupancy
Mg1 0.999 0.999 0.013 1
Mg2 0.242 0.242 0.260 1
Mo1 0.503 0.503 0.490 1
Pb1 0.756 0.756 0.737 1
```

---

Record 8
A plane-wave DFT calculation with GGA-PBE was carried out for a relaxed structure of ReHPt3.

Calculated values
DOS at the Fermi energy, states/eV/f.u.: 4.79
Offset from the most stable computed form, eV/atom: 1.3766
E, hartree per atom: -0.18606

CIF file:
```
data_ReHPt3
_chemical_formula_sum 'Re1 H1 Pt3'
_cell_length_a 4.846
_cell_length_b 4.846
_cell_length_c 4.846
_cell_angle_alpha 90.00
_cell_angle_beta 90.00
_cell_angle_gamma 90.00
_symmetry_space_group_name_H-M 'P 1'
_symmetry_Int_Tables_number 1
loop_
_symmetry_equiv_pos_as_xyz
'x,y,z'
loop_
_atom_site_label
_atom_site_fract_x
_atom_site_fract_y
_atom_site_fract_z
_atom_site_occupancy
Re1 0.000 0.000 0.000 1
Pt1 0.000 0.500 0.000 1
Pt2 0.000 0.000 0.500 1
Pt3 0.500 0.000 0.000 1
H1 0.500 0.500 0.500 1
```